Below is an optimized crystal structure of K2In17Hg3, with properties calculated at the PBE-GGA level.

Output
The calculation puts the magnetic moment at 0.0000 μB per atom. For the energy relative to the elements, the calculation gives 0.00 eV per atom. The final energy comes out at -2.254 eV/atom.

Cell lengths 8.855, 8.855, 8.855 Å; angles 81.92, 81.92, 81.92 degrees
Fractional coordinates of all 22 atoms:
Hg  0.500  0.500  0.000
In  0.500  0.000  0.000
In  0.254  0.000  0.746
In  0.000  0.000  0.500
K  0.359  0.359  0.359
In  0.332  0.332  0.820
In  0.254  0.746  0.000
In  0.000  0.254  0.746
In  0.820  0.332  0.332
In  0.120  0.120  0.120
In  0.746  0.254  0.000
K  0.641  0.641  0.641
In  0.880  0.880  0.880
In  0.180  0.668  0.668
In  0.668  0.180  0.668
In  0.000  0.746  0.254
In  0.000  0.500  0.000
In  0.746  0.000  0.254
In  0.332  0.820  0.332
Hg  0.000  0.500  0.500
Hg  0.500  0.000  0.500
In  0.668  0.668  0.180